# YPRu2C | Alexandria via LeMat-Bulk | meta-GGA SCAN | PBEsol geometry
data_YPRu2C
_chemical_formula_sum 'Y2 P2 Ru4 C2'
_cell_length_a 3.739
_cell_length_b 5.775
_cell_length_c 6.989
_cell_angle_alpha 90.00
_cell_angle_beta 90.00
_cell_angle_gamma 108.89
_symmetry_space_group_name_H-M 'P 1'
_symmetry_Int_Tables_number 1
loop_
_symmetry_equiv_pos_as_xyz
'x,y,z'
loop_
_atom_site_label
_atom_site_fract_x
_atom_site_fract_y
_atom_site_fract_z
Ru1 0.166 0.332 0.054
Y1 0.544 0.089 0.750
Ru2 0.834 0.668 0.946
Ru3 0.834 0.668 0.554
C1 0.000 0.000 0.000
C2 0.000 0.000 0.500
P1 0.731 0.463 0.250
Y2 0.456 0.911 0.250
P2 0.269 0.537 0.750
Ru4 0.166 0.332 0.446
# DOS at the Fermi energy, states/eV per atom: 0.33
# Space group: Cmcm, No. 63
# Calculated density, g/cm3: 7.8
# Energy of formation from the pure elements, eV/atom: -0.7845